Compound: Y5HoEr12
Source: Alexandria
Functional: PBE-GGA
Structure: optimized geometry

POSCAR file:
```
Y5HoEr12
1.0
7.477 -7.494 0.000
7.477 7.494 0.000
0.000 0.000 4.980
Y Ho Er
5 1 12
Direct
0.000 0.000 0.000
0.167 0.833 0.500
0.334 0.666 0.000
0.666 0.334 0.000
0.833 0.167 0.500
0.500 0.500 0.500
0.001 0.335 0.000
0.166 0.499 0.500
0.168 0.168 0.500
0.333 0.333 0.000
0.335 0.001 0.000
0.499 0.166 0.500
0.501 0.834 0.500
0.665 0.999 0.000
0.667 0.667 0.000
0.832 0.832 0.500
0.834 0.501 0.500
0.999 0.665 0.000
```

Summary:
The calculation puts the energy relative to the elements at 0.026 eV/atom. For the total moment, the calculation gives 0.00 μB/atom. The mass density is 7.8 Mg/m³. The calculation puts the total energy at -5.066 eV/atom.